#1
The following is a PBE calculation of Y4OsPd after structural relaxation, from Alexandria.

```
12
Lattice="-2.263 5.703 1.362 -3.319 -3.754 5.504 7.173 1.383 1.428" Properties=species:S:1:pos:R:3 pbc="T T T"
Y 1.352 4.014 5.824
Y -1.169 -2.894 5.532
Y 0.966 0.420 5.732
Y 4.509 3.291 3.568
Y -2.918 0.041 4.727
Y 2.760 6.226 2.763
Y 0.239 -0.682 2.471
Y 0.625 2.912 2.563
Pd -1.114 2.434 5.010
Pd 2.705 0.898 3.285
Os -3.879 -2.325 5.843
Os 5.470 5.657 2.452
```

Computed properties:
theoretical density = 6.9 g/cm3
density of states at the Fermi level = 0.93 states/eV/atom
space-group type = No. 15

***

#2
The following is a PBE calculation of Y4OsPd after structural relaxation, from Alexandria.

```
6
Lattice="4.846 0.000 -0.001 0.000 4.846 -0.002 0.004 0.006 6.897" Properties=species:S:1:pos:R:3 pbc="T T T"
Pd 2.433 2.416 6.882
Y 0.010 2.416 5.093
Y 2.429 4.833 1.774
Y 2.432 4.839 5.091
Y 0.006 2.410 1.776
Os 0.008 4.836 3.434
```

Computed properties:
theoretical density = 6.7 g/cm3
density of states at the Fermi level = 0.80 states/eV/atom
space-group type = No. 123

***

Verdict on stability: #1 comes out on top.

***

#1
The following is a PBE calculation of YOs2Pd after structural relaxation, from Alexandria.

```
8
Lattice="4.009 0.000 0.000 0.000 4.009 0.000 2.004 2.004 9.925" Properties=species:S:1:pos:R:3 pbc="T T T"
Y 2.004 4.009 4.963
Y 2.004 2.004 0.000
Os 3.365 1.002 2.481
Os 3.006 2.648 7.444
Os 5.011 5.369 7.444
Os 0.644 3.006 2.481
Pd 4.009 2.004 4.963
Pd 0.000 0.000 0.000
```

Computed properties:
theoretical density = 12.0 g/cm3
density of states at the Fermi level = 1.43 states/eV/atom
space-group type = No. 122

***

#2
The following is a PBE calculation of YOs2Pd after structural relaxation, from Alexandria.

```
4
Lattice="-4.300 0.665 1.512 -3.415 0.707 -3.009 -3.200 -3.247 -0.656" Properties=species:S:1:pos:R:3 pbc="T T T"
Os -8.186 -1.406 -1.615
Os -2.729 -0.469 -0.538
Pd -5.458 -0.937 -1.076
Y 0.000 0.000 0.000
```

Computed properties:
theoretical density = 13.8 g/cm3
density of states at the Fermi level = 1.63 states/eV/atom
space-group type = No. 225

***

Verdict on stability: #1 comes out on top.